1.
ErMoIr after structural relaxation, computed with PBE-GGA.

Structure (extended XYZ):
```
3
Lattice="0.000 3.198 3.198 3.198 0.000 3.198 3.198 3.198 0.000" Properties=species:S:1:pos:R:3 pbc="T T T"
Er 0.000 0.000 0.000
Ir 1.599 1.599 1.599
Mo 4.797 4.797 4.797
```

Values from the calculation:
VASP energy, eV for the cell shown: -21.30



2.
Lu2IrW after structural relaxation, computed with PBE-GGA.

Structure (extended XYZ):
```
4
Lattice="2.907 -3.744 -0.177 -1.773 -4.393 0.240 0.044 -2.788 -3.837" Properties=species:S:1:pos:R:3 pbc="T T T"
Ir 0.589 -5.462 -1.887
Lu 0.000 0.000 0.000
Lu 0.295 -2.731 -0.944
W 0.884 -8.194 -2.831
```

Values from the calculation:
VASP energy, eV for the cell shown: -30.37



3.
DyHo2ErIn2 after structural relaxation, computed with PBE-GGA.

Structure (extended XYZ):
```
6
Lattice="-1.338 4.074 -3.212 -3.299 -1.493 3.949 3.039 4.273 4.154" Properties=species:S:1:pos:R:3 pbc="T T T"
Dy 0.000 0.000 0.000
Er -1.126 2.499 3.639
Ho -1.230 3.289 0.216
Ho 0.285 5.420 2.288
In -2.645 0.363 1.562
In 1.519 2.136 2.077
```

Values from the calculation:
VASP energy, eV for the cell shown: -25.90



4.
BaNaPrS3 after structural relaxation, computed with PBE-GGA.

Structure (extended XYZ):
```
24
Lattice="-8.292 -6.475 -2.828 2.109 -3.417 1.639 -5.961 2.241 12.346" Properties=species:S:1:pos:R:3 pbc="T T T"
Ba -0.307 -4.016 0.629
Ba -7.397 -6.147 5.312
Ba -4.747 -1.504 5.845
Ba -11.837 -3.634 10.527
Na -6.129 -7.009 1.883
Na -2.240 -3.675 3.830
Na -9.904 -3.976 7.326
Na -6.015 -0.642 9.273
Pr -5.167 -3.649 1.911
Pr -1.146 -0.364 3.585
Pr -10.998 -7.286 7.572
Pr -6.977 -4.002 9.245
S -3.878 -6.049 0.987
S -7.127 -8.524 0.008
S -2.638 -2.166 1.748
S -7.759 -5.037 2.355
S -4.511 -4.712 4.591
S -1.370 -2.196 5.792
S -10.775 -5.455 5.364
S -7.633 -2.939 6.566
S -4.385 -2.614 8.802
S -9.507 -5.485 9.408
S -5.017 0.874 11.148
S -8.266 -1.601 10.170
```

Values from the calculation:
VASP energy, eV for the cell shown: -123.59